TlAs2Os (PBEsol, relaxed); formation enthalpy at 0 K = 0.195 eV/atom; theoretical density = 10.74 g/cm3
1.0
3.157 0.000 0.000
-1.578 4.224 -0.032
0.000 -1.876 6.329
Tl Os As
1 1 2
Direct
0.828 0.655 0.251
0.470 0.940 0.677
0.032 0.064 0.969
0.170 0.340 0.603



SrCuSi (PBEsol, relaxed); theoretical density = 4.52 g/cm3; raw formation energy = -346 meV per atom
1.0
-0.918 -3.908 -0.560
3.043 1.685 -2.081
2.951 -1.175 3.364
Sr Si Cu
1 1 1
Direct
0.667 0.333 0.500
0.333 0.667 0.000
0.000 0.000 0.000



FeTcI2O (PBEsol, relaxed); theoretical density = 6.50 g/cm3; raw formation energy = 254 meV per atom
1.0
3.670 0.000 0.000
0.000 5.431 0.000
0.000 0.000 5.431
I Tc O Fe
2 1 1 1
Direct
0.000 0.000 0.500
0.000 0.500 0.000
0.000 0.000 0.000
0.500 0.000 0.000
0.500 0.500 0.500